1.
DFT (PBE) results for La3Y2PaP6 after structural relaxation.

a b c (Å): 7.123 7.123 7.188
angles (deg): 99.49 99.49 120.00
Positions (direct):
La (0.168, 0.832, 0.500)
La (0.832, 0.168, 0.500)
La (0.500, 0.500, 0.500)
Y (0.334, 0.666, 0.000)
Y (0.666, 0.334, 0.000)
Pa (0.000, 0.000, 0.000)
P (0.923, 0.597, 0.768)
P (0.752, 0.752, 0.232)
P (0.077, 0.403, 0.232)
P (0.597, 0.923, 0.768)
P (0.248, 0.248, 0.768)
P (0.403, 0.077, 0.232)

Output
Its calculated formation energy is -1.562 eV per atom. The spin magnetization is 0.0000 μB per atom. The calculated total energy is -7.368 eV per atom.

***

2.
DFT (PBE) results for La4YPa3P8 after structural relaxation.

a b c (Å): 8.192 8.261 8.192
angles (deg): 119.72 120.00 90.00
Positions (direct):
La (0.500, 0.000, 0.000)
La (0.500, 0.000, 0.500)
La (0.000, 0.000, 0.000)
La (0.000, 0.000, 0.500)
Y (0.000, 0.500, 0.000)
Pa (0.500, 0.500, 0.000)
Pa (0.500, 0.500, 0.500)
Pa (0.000, 0.500, 0.500)
P (0.245, 0.728, 0.983)
P (0.245, 0.728, 0.490)
P (0.258, 0.273, 0.515)
P (0.738, 0.728, 0.983)
P (0.262, 0.272, 0.017)
P (0.742, 0.727, 0.485)
P (0.755, 0.272, 0.510)
P (0.755, 0.272, 0.017)

Output
Its calculated formation energy is -1.481 eV per atom. The spin magnetization is 0.0001 μB per atom. The calculated total energy is -7.602 eV per atom.

***

3.
DFT (PBE) results for LaPPb2 after structural relaxation.

a b c (Å): 9.242 9.242 9.242
angles (deg): 24.13 24.13 24.13
Positions (direct):
La (0.250, 0.250, 0.250)
P (0.750, 0.750, 0.750)
Pb (0.018, 0.018, 0.018)
Pb (0.482, 0.482, 0.482)

Output
Its calculated formation energy is -0.017 eV per atom. The spin magnetization is 0.0000 μB per atom. The calculated total energy is -4.455 eV per atom.

***

4.
DFT (PBE) results for LaPPb2 after structural relaxation.

a b c (Å): 6.954 6.954 4.563
angles (deg): 70.87 70.87 33.60
Positions (direct):
La (0.750, 0.750, 0.750)
P (0.250, 0.250, 0.250)
Pb (0.953, 0.953, 0.047)
Pb (0.547, 0.547, 0.453)

Output
Its calculated formation energy is -0.484 eV per atom. The spin magnetization is 0.0000 μB per atom. The calculated total energy is -4.923 eV per atom.

***

5.
DFT (PBE) results for LaP2Pb after structural relaxation.

a b c (Å): 5.143 5.143 5.143
angles (deg): 60.00 60.00 60.00
Positions (direct):
La (0.500, 0.500, 0.500)
P (0.000, 0.000, 0.000)
P (0.250, 0.250, 0.250)
Pb (0.750, 0.750, 0.750)

Output
Its calculated formation energy is 0.030 eV per atom. The spin magnetization is 0.0000 μB per atom. The calculated total energy is -4.834 eV per atom.

***

6.
DFT (PBE) results for La6P4Pb after structural relaxation.

a b c (Å): 4.290 7.379 21.994
angles (deg): 90.00 90.00 106.90
Last column: magnetic moment on the atom in μB.
Positions (direct):
La (0.500, 0.000, 0.000)  0.01
La (0.500, 0.000, 0.500)  0.01
La (0.042, 0.083, 0.343)  0.06
La (0.958, 0.917, 0.657)  0.06
La (0.958, 0.917, 0.843)  0.06
La (0.042, 0.083, 0.157)  0.06
La (0.773, 0.547, 0.419)  0.01
La (0.227, 0.453, 0.581)  0.01
La (0.227, 0.453, 0.919)  0.01
La (0.773, 0.547, 0.081)  0.01
La (0.340, 0.679, 0.250)  0.13
La (0.660, 0.321, 0.750)  0.13
P (0.862, 0.724, 0.541)  0.00
P (0.409, 0.818, 0.124)  0.00
P (0.138, 0.276, 0.459)  0.00
P (0.591, 0.182, 0.876)  0.00
P (0.862, 0.724, 0.959)  0.00
P (0.138, 0.276, 0.041)  0.00
P (0.591, 0.182, 0.624)  0.00
P (0.409, 0.818, 0.376)  0.00
Pb (0.663, 0.326, 0.250)  -0.01
Pb (0.337, 0.674, 0.750)  -0.01

Output
Its calculated formation energy is -1.314 eV per atom. The spin magnetization is 0.0750 μB per atom. The calculated total energy is -6.306 eV per atom.

***

7.
DFT (PBE) results for La2PPb2 after structural relaxation.

a b c (Å): 7.969 7.969 4.768
angles (deg): 90.00 90.00 90.00
Positions (direct):
La (0.672, 0.172, 0.500)
La (0.328, 0.828, 0.500)
La (0.172, 0.328, 0.500)
La (0.828, 0.672, 0.500)
P (0.000, 0.000, 0.000)
P (0.500, 0.500, 0.000)
Pb (0.862, 0.362, 0.000)
Pb (0.138, 0.638, 0.000)
Pb (0.362, 0.138, 0.000)
Pb (0.638, 0.862, 0.000)

Output
Its calculated formation energy is -0.407 eV per atom. The spin magnetization is 0.0000 μB per atom. The calculated total energy is -4.943 eV per atom.

***

8.
DFT (PBE) results for La2PPb2 after structural relaxation.

a b c (Å): 7.858 7.858 5.212
angles (deg): 90.00 90.00 90.00
Positions (direct):
Pb (0.141, 0.641, 0.500)
Pb (0.641, 0.859, 0.500)
Pb (0.859, 0.359, 0.500)
Pb (0.359, 0.141, 0.500)
P (0.000, 0.000, 0.000)
P (0.500, 0.500, 0.000)
La (0.328, 0.828, 0.000)
La (0.828, 0.672, 0.000)
La (0.672, 0.172, 0.000)
La (0.172, 0.328, 0.000)

Output
Its calculated formation energy is -0.615 eV per atom. The spin magnetization is 0.0000 μB per atom. The calculated total energy is -5.152 eV per atom.

***

9.
DFT (PBE) results for LaPPb2 after structural relaxation.

a b c (Å): 9.042 9.042 7.045
angles (deg): 50.08 50.08 90.00
Positions (direct):
Pb (0.557, 0.125, 0.250)
Pb (0.193, 0.625, 0.250)
Pb (0.375, 0.443, 0.750)
Pb (0.875, 0.807, 0.750)
P (0.500, 0.500, 0.000)
P (0.250, 0.750, 0.500)
La (0.000, 0.000, 0.000)
La (0.750, 0.250, 0.500)

Output
Its calculated formation energy is -0.267 eV per atom. The spin magnetization is 0.0000 μB per atom. The calculated total energy is -4.706 eV per atom.

***

10.
DFT (PBE) results for LaPPb3 after structural relaxation.

a b c (Å): 5.442 5.442 5.442
angles (deg): 90.00 90.00 90.00
Positions (direct):
Pb (0.000, 0.500, 0.000)
Pb (0.000, 0.000, 0.500)
Pb (0.500, 0.000, 0.000)
P (0.000, 0.000, 0.000)
La (0.500, 0.500, 0.500)

Output
Its calculated formation energy is 0.139 eV per atom. The spin magnetization is 0.0000 μB per atom. The calculated total energy is -4.153 eV per atom.

***

11.
DFT (PBE) results for LaPPb after structural relaxation.

a b c (Å): 5.010 5.010 7.230
angles (deg): 90.00 90.00 99.54
Positions (direct):
La (0.289, 0.711, 0.250)
La (0.711, 0.289, 0.750)
P (0.000, 0.000, 0.000)
P (0.000, 0.000, 0.500)
Pb (0.279, 0.721, 0.750)
Pb (0.721, 0.279, 0.250)

Output
Its calculated formation energy is -0.362 eV per atom. The spin magnetization is 0.0000 μB per atom. The calculated total energy is -5.044 eV per atom.

***

12.
DFT (PBE) results for LaPPb after structural relaxation.

a b c (Å): 8.248 8.248 4.194
angles (deg): 90.00 90.00 120.00
Positions (direct):
La (0.605, 0.000, 0.500)
La (0.000, 0.605, 0.500)
La (0.395, 0.395, 0.500)
P (0.297, 0.000, 0.000)
P (0.000, 0.297, 0.000)
P (0.703, 0.703, 0.000)
Pb (0.333, 0.667, 0.000)
Pb (0.667, 0.333, 0.000)
Pb (0.000, 0.000, 0.500)

Output
Its calculated formation energy is -0.379 eV per atom. The spin magnetization is 0.0000 μB per atom. The calculated total energy is -5.061 eV per atom.

***

13.
DFT (PBE) results for LaP2Pb after structural relaxation.

a b c (Å): 4.001 4.001 6.383
angles (deg): 90.00 90.00 90.00
Positions (direct):
La (0.500, 0.500, 0.750)
P (0.000, 0.000, 0.933)
P (0.000, 0.000, 0.567)
Pb (0.500, 0.500, 0.250)

Output
Its calculated formation energy is -0.507 eV per atom. The spin magnetization is 0.0000 μB per atom. The calculated total energy is -5.371 eV per atom.

***

14.
DFT (PBE) results for LaPPb4 after structural relaxation.

a b c (Å): 6.356 6.356 6.356
angles (deg): 60.00 60.00 60.00
Positions (direct):
La (0.750, 0.750, 0.750)
P (0.000, 0.000, 0.000)
Pb (0.875, 0.375, 0.375)
Pb (0.375, 0.375, 0.875)
Pb (0.375, 0.875, 0.375)
Pb (0.375, 0.375, 0.375)

Output
Its calculated formation energy is 0.137 eV per atom. The spin magnetization is 0.0000 μB per atom. The calculated total energy is -4.059 eV per atom.

***

15.
DFT (PBE) results for LaP5Pb3 after structural relaxation.

a b c (Å): 8.931 8.931 6.145
angles (deg): 90.00 90.00 120.00
Positions (direct):
Pb (0.379, 0.379, 0.250)
Pb (0.621, 0.000, 0.250)
Pb (0.000, 0.621, 0.250)
Pb (0.621, 0.621, 0.750)
Pb (0.379, 0.000, 0.750)
Pb (0.000, 0.379, 0.750)
P (0.282, 0.000, 0.250)
P (0.000, 0.282, 0.250)
P (0.718, 0.718, 0.250)
P (0.718, 0.000, 0.750)
P (0.000, 0.718, 0.750)
P (0.282, 0.282, 0.750)
P (0.333, 0.667, 0.000)
P (0.667, 0.333, 0.500)
P (0.667, 0.333, 0.000)
P (0.333, 0.667, 0.500)
La (0.000, 0.000, 0.000)
La (0.000, 0.000, 0.500)

Output
Its calculated formation energy is 0.289 eV per atom. The spin magnetization is 0.0000 μB per atom. The calculated total energy is -4.500 eV per atom.

***

16.
DFT (PBE) results for LaP2Pb2 after structural relaxation.

a b c (Å): 7.508 7.508 4.655
angles (deg): 90.00 90.00 90.00
Positions (direct):
Pb (0.225, 0.725, 0.500)
Pb (0.725, 0.775, 0.500)
Pb (0.775, 0.275, 0.500)
Pb (0.275, 0.225, 0.500)
P (0.393, 0.893, 0.000)
P (0.893, 0.607, 0.000)
P (0.607, 0.107, 0.000)
P (0.107, 0.393, 0.000)
La (0.000, 0.000, 0.000)
La (0.500, 0.500, 0.000)

Output
Its calculated formation energy is -0.345 eV per atom. The spin magnetization is 0.0000 μB per atom. The calculated total energy is -4.977 eV per atom.

***

17.
DFT (PBE) results for LaPPb after structural relaxation.

a b c (Å): 5.112 5.112 5.112
angles (deg): 60.00 60.00 60.00
Positions (direct):
La (0.000, 0.000, 0.000)
P (0.500, 0.500, 0.500)
Pb (0.750, 0.750, 0.750)

Output
Its calculated formation energy is 0.020 eV per atom. The spin magnetization is 0.0000 μB per atom. The calculated total energy is -4.662 eV per atom.

***

18.
DFT (PBE) results for LaPPb2 after structural relaxation.

a b c (Å): 5.589 5.589 6.362
angles (deg): 62.46 62.46 42.95
Positions (direct):
La (0.548, 0.548, 0.381)
P (0.259, 0.259, 0.381)
Pb (0.949, 0.949, 0.010)
Pb (0.743, 0.743, 0.727)

Output
Its calculated formation energy is -0.424 eV per atom. The spin magnetization is 0.0000 μB per atom. The calculated total energy is -4.862 eV per atom.

***

19.
DFT (PBE) results for LaPPb after structural relaxation.

a b c (Å): 4.740 4.740 4.294
angles (deg): 90.00 90.00 120.00
Positions (direct):
La (0.000, 0.000, 0.030)
P (0.667, 0.333, 0.419)
Pb (0.333, 0.667, 0.551)

Output
Its calculated formation energy is -0.506 eV per atom. The spin magnetization is 0.0000 μB per atom. The calculated total energy is -5.187 eV per atom.

***

20.
DFT (PBE) results for LaPPb3 after structural relaxation.

a b c (Å): 6.070 6.070 6.070
angles (deg): 90.00 90.00 90.00
Positions (direct):
Pb (0.000, 0.500, 0.000)
Pb (0.000, 0.000, 0.500)
Pb (0.500, 0.000, 0.000)
P (0.500, 0.500, 0.500)
La (0.000, 0.000, 0.000)

Output
Its calculated formation energy is 1.127 eV per atom. The spin magnetization is 0.0002 μB per atom. The calculated total energy is -3.166 eV per atom.